Computed, not measured: a relaxed structure of Mg2FeCo5B2 at the PBE-GGA level of DFT.

M_tot (μB per formula unit): 4.83
DFT total energy (eV/atom): -6.2403
Space group: P4/mbm (127)

Unit cell a=2.7901 b=8.7713 c=8.7713 alpha=90.00 beta=90.00 gamma=90.00
Each line ends with the local moment (μB).
Element x y z (fractional)
Mg 0.0000 0.6771 0.1771  -0.01
Mg 0.0000 0.3229 0.8229  -0.01
Mg 0.0000 0.1771 0.3229  -0.01
Mg 0.0000 0.8229 0.6771  -0.01
Fe 0.0000 0.0000 0.0000  2.81
Fe 0.0000 0.5000 0.5000  2.81
Co 0.5000 0.2183 0.0678  0.60
Co 0.5000 0.7817 0.9322  0.60
Co 0.5000 0.0678 0.7817  0.60
Co 0.5000 0.7183 0.4322  0.60
Co 0.5000 0.9322 0.2183  0.60
Co 0.5000 0.2817 0.5678  0.60
Co 0.5000 0.5678 0.7183  0.60
Co 0.5000 0.4322 0.2817  0.60
Co 0.5000 0.5000 0.0000  -0.14
Co 0.5000 0.0000 0.5000  -0.14
B 0.0000 0.1230 0.6230  -0.03
B 0.0000 0.8770 0.3770  -0.03
B 0.0000 0.6230 0.8770  -0.03
B 0.0000 0.3770 0.1230  -0.03